Entry 1:
Computed, not measured: a geometry-optimized SrLi2Zn9 structure at the PBE level of DFT.

```
12
Lattice="8.065 0.000 0.000 -4.033 6.985 0.000 0.000 0.000 3.749" Properties=species:S:1:pos:R:3 pbc="T T T"
Sr 0.000 0.000 0.000
Li 0.000 4.656 0.000
Li 4.033 2.328 0.000
Zn -2.016 3.492 0.000
Zn 0.000 2.819 1.875
Zn -1.591 5.575 1.875
Zn 2.441 1.409 1.875
Zn 4.033 0.000 0.000
Zn 2.016 3.492 0.000
Zn 1.591 5.575 1.875
Zn 5.624 1.409 1.875
Zn 4.033 4.166 1.875
```

Output
- Relative energy among the computed polymorphs: 142 meV/atom
- Space group: P6/mmm
- Total energy: -17.330 eV per formula unit
- Fermi-level density of states: 0.445 states/eV/atom


Entry 2:
Computed, not measured: a geometry-optimized SrLiZn2 structure at the PBE level of DFT.

```
16
Lattice="4.817 0.000 0.000 0.000 4.817 0.000 0.000 0.000 18.658" Properties=species:S:1:pos:R:3 pbc="T T T"
Sr 0.000 1.204 6.997
Sr 0.000 3.612 11.662
Sr 2.408 1.204 2.332
Sr 2.408 3.612 16.326
Li 0.000 1.204 16.326
Li 0.000 3.612 2.332
Li 2.408 1.204 11.662
Li 2.408 3.612 6.997
Zn 0.000 0.000 0.000
Zn 0.000 2.408 0.000
Zn 1.204 1.204 13.994
Zn 1.204 3.612 4.665
Zn 2.408 0.000 9.329
Zn 2.408 2.408 9.329
Zn 3.612 1.204 13.994
Zn 3.612 3.612 4.665
```

Output
- Relative energy among the computed polymorphs: 159 meV/atom
- Space group: I4_1/amd
- Total energy: -6.229 eV per formula unit
- Fermi-level density of states: 0.585 states/eV/atom